(1)
Density functional theory data (GGA-PBE) for a relaxed structure of SmDyGa2Br2.

The space group is P3m1 (No. 156) and the conventional cell measures 4.1588, 4.1588 and 11.3515 Å, with angles of 90.00, 90.00 and 120.00 degrees. The asymmetric unit holds Sm at (0.0000, 0.0000, 0.0000), Dy at (0.0000, 0.0000, 0.3649), Ga at (0.3333, 0.6667, 0.2149), Ga at (0.6667, 0.3333, 0.1558), Br at (0.3333, 0.6667, 0.8406) and Br at (0.6667, 0.3333, 0.5181).

The calculation puts the calculated total energy at -4.352 eV per atom.

---

(2)
Density functional theory data (GGA-PBE) for a relaxed structure of LiFeNiSb.

The space group is F-43m (No. 216) and the conventional cell measures 5.933, 5.933 and 5.933 Å, with angles of 90.00, 90.00 and 90.00 degrees. The asymmetric unit holds Li at (0.000, 0.000, 0.000), Fe at (0.250, 0.250, 0.750), Ni at (0.000, 0.000, 0.500) and Sb at (0.250, 0.250, 0.250).

The calculation puts the calculated total energy at -4.975 eV per atom.

---

(3)
Density functional theory data (GGA-PBE) for a relaxed structure of Gd3Be3W2.

The space group is P2/m (No. 10) and the conventional cell measures 2.958, 4.318 and 12.790 Å, with angles of 90.00, 96.28 and 90.00 degrees. The asymmetric unit holds Gd at (0.000, 0.000, 0.000), Gd at (0.415, 0.500, 0.369), Be at (0.429, 0.000, 0.794), Be at (0.500, 0.500, 0.000) and W at (0.066, 0.500, 0.833).

The calculation puts the calculated total energy at -5.830 eV per atom.

---

What is the calculated total energy in the first record?
-4.352 eV per atom

---

What is the calculated total energy in the first record?
-4.352 eV per atom

---

Among the records above, which one has the lowest calculated total energy?
Gd3Be3W2

---

Among the records above, which one has the lowest calculated total energy?
Gd3Be3W2